Ba12Ag3Rh5 after structural relaxation. Source: the Alexandria database, functional PBE.

Properties
SG: Ia-3d (230)
Magnetization: 0.00 μB per atom
ΔE_f: -46 meV per atom
Total DFT energy (no corrections): -3.47 eV/atom

```
Ba12Ag3Rh5
1.0
-2.3567 16.1332 -2.0632
-6.8742 -8.1814 -12.4861
-6.8891 -4.7792 14.1347
Rh Ba Ag
20 48 12
direct
0.2500 0.8750 0.1250
0.6250 0.8750 0.2500
0.2500 0.3750 0.6250
0.5000 0.0000 0.5000
0.0000 0.0000 0.5000
0.5000 0.5000 0.0000
0.7500 0.1250 0.8750
0.8750 0.6250 0.7500
0.8750 0.2500 0.6250
0.0000 0.5000 0.5000
0.1250 0.3750 0.2500
0.5000 0.0000 0.0000
0.7500 0.6250 0.3750
0.5000 0.5000 0.5000
0.6250 0.7500 0.8750
0.3750 0.1250 0.7500
0.0000 0.5000 0.0000
0.3750 0.2500 0.1250
0.0000 0.0000 0.0000
0.1250 0.7500 0.3750
0.9126 0.8215 0.7928
0.7072 0.5874 0.1785
0.6785 0.4713 0.5911
0.6198 0.0287 0.2072
0.7928 0.4713 0.3802
0.3802 0.9713 0.7928
0.5874 0.8802 0.4089
0.1198 0.7072 0.5287
0.2928 0.8802 0.9713
0.5287 0.3215 0.9089
0.2072 0.6785 0.0874
0.0287 0.4089 0.8215
0.5911 0.9713 0.6785
0.0287 0.6198 0.7072
0.1785 0.0911 0.9713
0.6785 0.2072 0.5874
0.4126 0.1198 0.5911
0.9126 0.0911 0.6198
0.6198 0.5911 0.9126
0.9089 0.0874 0.8802
0.3215 0.7928 0.4126
0.0874 0.9089 0.3802
0.4089 0.3802 0.5874
0.5911 0.6198 0.4126
0.8802 0.5874 0.9089
0.9713 0.5911 0.1785
0.8802 0.2928 0.4713
0.0911 0.1785 0.4713
0.0874 0.1785 0.2072
0.9713 0.3802 0.2928
0.5874 0.7072 0.6785
0.9089 0.8215 0.5287
0.4713 0.6785 0.0911
0.5287 0.2072 0.1198
0.8215 0.9126 0.2928
0.4126 0.2928 0.3215
0.3802 0.4089 0.0874
0.1785 0.0874 0.7072
0.8215 0.9089 0.0287
0.1198 0.4126 0.0911
0.2072 0.5287 0.6198
0.2928 0.4126 0.8215
0.7928 0.3215 0.9126
0.4713 0.7928 0.8802
0.4089 0.0287 0.3215
0.7072 0.1198 0.0287
0.3215 0.5287 0.4089
0.0911 0.9126 0.1198
0.8750 0.1250 0.2500
0.6250 0.2500 0.3750
0.3750 0.7500 0.6250
0.1250 0.8750 0.7500
0.1250 0.2500 0.8750
0.8750 0.7500 0.1250
0.2500 0.6250 0.8750
0.2500 0.1250 0.3750
0.7500 0.3750 0.1250
0.6250 0.3750 0.7500
0.3750 0.6250 0.2500
0.7500 0.8750 0.6250
```

BaAgRh2 after structural relaxation. Source: the Alexandria database, functional PBE.

Properties
SG: R3m (160)
Magnetization: 0.26 μB per atom
ΔE_f: -34 meV per atom
Total DFT energy (no corrections): -4.90 eV/atom

```
BaAgRh2
1.0
5.7350 -2.2501 -0.0043
5.7350 2.2501 -0.0043
4.8550 0.0000 3.7924
Rh Ba Ag
2 1 1
direct
0.7361 0.7361 0.7361
0.0650 0.0650 0.0650
0.2598 0.2598 0.2598
0.4571 0.4571 0.4571
```

BaAgRh2 after structural relaxation. Source: the Alexandria database, functional PBE.

Properties
SG: F-43m (216)
Magnetization: 0.13 μB per atom
ΔE_f: 414 meV per atom
Total DFT energy (no corrections): -4.46 eV/atom

```
BaAgRh2
1.0
-3.9653 -2.8573 0.5275
-3.3591 1.0656 3.4274
-4.4275 1.6695 -1.3328
Ag Ba Rh
1 1 2
direct
0.5000 0.5000 0.5000
0.2500 0.2500 0.2500
0.0000 0.0000 0.0000
0.7500 0.7500 0.7500
```

Ba2AgRh after structural relaxation. Source: the Alexandria database, functional PBE.

Properties
SG: P4mm (99)
Magnetization: 0.00 μB per atom
ΔE_f: 76 meV per atom
Total DFT energy (no corrections): -3.44 eV/atom

```
Ba2AgRh
1.0
3.8679 0.0000 0.0000
0.0000 3.8679 0.0000
0.0000 0.0000 9.0087
Rh Ag Ba
1 1 2
direct
0.0000 0.0000 0.5720
0.5000 0.5000 0.6812
0.5000 0.5000 0.3447
0.0000 0.0000 0.9021
```

BaAgSbRh after structural relaxation. Source: the Alexandria database, functional PBE.

Properties
Energy relative to the elements, uncorrected: -469 meV per atom
SG: P4/nmm (129)
Magnetization: 0.00 μB per atom
Total DFT energy (no corrections): -4.53 eV/atom

```
BaAgSbRh
1.0
-0.0242 3.6107 -2.2297
-4.2383 0.0921 0.1951
0.6164 6.4042 10.3643
Ba Rh Ag Sb
2 2 2 2
direct
0.7500 0.7500 0.2668
0.2500 0.2500 0.7332
0.2500 0.7500 0.0000
0.7500 0.2500 0.0000
0.2500 0.7500 0.5000
0.7500 0.2500 0.5000
0.7500 0.7500 0.8734
0.2500 0.2500 0.1266
```

Ba2AgRhSe after structural relaxation. Source: the Alexandria database, functional PBE.

Properties
Energy relative to the elements, uncorrected: -146 meV per atom
SG: P4/mmm (123)
Magnetization: 0.04 μB per atom
Total DFT energy (no corrections): -3.65 eV/atom

```
Ba2AgRhSe
1.0
-3.8450 2.2947 -4.2529
3.0808 -1.3757 -3.5276
-2.8569 -5.4628 -0.3647
Ba Ag Se Rh
2 1 1 1
direct
0.5000 0.0000 0.0000
0.0000 0.0000 0.5000
0.0000 0.5000 0.0000
0.0000 0.0000 0.0000
0.5000 0.5000 0.5000
```